Compound: Fe3Pd3Pt2
Source: Alexandria via LeMat-Bulk
Functional: PBE
Structure: optimized geometry

## Properties
The volume is 14.43 Å³/atom. As for the formation energy: -127 meV per atom. The space group is Immm. As for the relative energy among the computed polymorphs: 29 meV per atom.

Geometry as POSCAR:
```
Fe3Pd3Pt2
1.0
-1.9104 1.9636 7.6928
1.9104 -1.9636 7.6928
1.9104 1.9636 -7.6928
Fe Pd Pt
3 3 2
direct
0.0000 0.0000 0.0000
0.3737 0.8737 0.5000
0.6263 0.1263 0.5000
0.1199 0.6199 0.5000
0.5000 0.5000 0.0000
0.8801 0.3801 0.5000
0.2523 0.2523 0.0000
0.7477 0.7477 0.0000
```

***

Compound: Fe2Pd4Pt5
Source: Alexandria via LeMat-Bulk
Functional: PBE
Structure: optimized geometry

## Properties
The volume is 15.28 Å³/atom. As for the formation energy: -47 meV per atom. The space group is C2/m.

Geometry as POSCAR:
```
Fe2Pd4Pt5
1.0
6.0948 -2.3296 0.0000
6.0948 2.3296 0.0000
-4.0120 0.0000 5.9194
Fe Pd Pt
2 4 5
direct
0.1467 0.1467 0.0917
0.8533 0.8533 0.9083
0.0437 0.0437 0.3422
0.4102 0.4102 0.2730
0.5898 0.5898 0.7270
0.9563 0.9563 0.6578
0.2309 0.2309 0.8202
0.3138 0.3138 0.5321
0.5000 0.5000 0.0000
0.6862 0.6862 0.4679
0.7691 0.7691 0.1798
```

***

Compound: FePdPt3
Source: Alexandria via LeMat-Bulk
Functional: PBE
Structure: optimized geometry

## Properties
The volume is 15.46 Å³/atom. As for the formation energy: -56 meV per atom. The space group is P2_1/c. As for the relative energy among the computed polymorphs: 0 meV per atom.

Geometry as POSCAR:
```
FePdPt3
1.0
4.7802 0.0000 0.0000
0.0000 7.2981 0.0000
-2.8217 0.0000 8.8650
Fe Pd Pt
4 4 12
direct
0.1432 0.2373 0.1444
0.1432 0.2627 0.6444
0.8568 0.7373 0.3556
0.8568 0.7627 0.8556
0.4205 0.6818 0.5004
0.4205 0.8182 0.0004
0.5795 0.1818 0.9996
0.5795 0.3182 0.4996
0.0151 0.6059 0.6375
0.0151 0.8941 0.1375
0.2016 0.0330 0.4244
0.2016 0.4670 0.9244
0.3880 0.5543 0.2266
0.3880 0.9457 0.7266
0.6120 0.0543 0.2734
0.6120 0.4457 0.7734
0.7984 0.5330 0.0756
0.7984 0.9670 0.5756
0.9849 0.1059 0.8625
0.9849 0.3941 0.3625
```

***

Compound: FePd4Pt2
Source: Alexandria via LeMat-Bulk
Functional: PBE
Structure: optimized geometry

## Properties
The volume is 15.55 Å³/atom. As for the formation energy: 35 meV per atom. The space group is Fdd2. As for the relative energy among the computed polymorphs: 0 meV per atom.

Geometry as POSCAR:
```
FePd4Pt2
1.0
0.0000 8.5530 3.2759
3.8840 0.0000 3.2759
3.8840 8.5530 0.0000
Fe Pd Pt
2 8 4
direct
0.0000 0.0000 0.0000
0.2500 0.2500 0.2500
0.1735 0.3144 0.5781
0.3144 0.1735 0.9340
0.3160 0.6719 0.9356
0.5449 0.7551 0.2957
0.6719 0.3160 0.0765
0.7551 0.5449 0.4043
0.8457 0.9543 0.4949
0.9543 0.8457 0.7051
0.1120 0.5466 0.8586
0.3914 0.7672 0.1380
0.5466 0.1120 0.4828
0.7672 0.3914 0.7034
```